Arrangement w

Entry from Alexandria via LeMat-Bulk: H6Pd3Rh after structural relaxation (PBE-GGA).

```
data_H6Pd3Rh
_space_group_name_H-M_alt 'P -1'
_space_group_IT_number 2
_space_group_name_Hall '-P 1'
_cell_length_a 4.850
_cell_length_b 4.968
_cell_length_c 7.565
_cell_angle_alpha 75.14
_cell_angle_beta 82.14
_cell_angle_gamma 75.23
loop_
_atom_site_label
_atom_site_type_symbol
_atom_site_fract_x
_atom_site_fract_y
_atom_site_fract_z
H1 H 0.023 0.178 0.264
H2 H 0.175 0.209 0.590
H3 H 0.185 0.726 0.082
H4 H 0.302 0.742 0.423
H5 H 0.324 0.252 0.943
H6 H 0.451 0.786 0.802
Pd1 Pd 0.076 0.431 0.760
Pd2 Pd 0.346 0.962 0.176
Pd3 Pd 0.432 0.326 0.408
Rh1 Rh 0.000 0.000 0.500
Rh2 Rh 0.500 0.500 0.000
```

For the calculated density, the calculation gives 8.4 g/cm³. The value obtained for the magnetic moment is 0.00 μB/f.u.

***

Arrangement x

Entry from Alexandria via LeMat-Bulk: H6Pd3Rh after structural relaxation (PBE-GGA).

```
data_H6Pd3Rh
_space_group_name_H-M_alt 'R 3'
_space_group_IT_number 146
_space_group_name_Hall 'R 3'
_cell_length_a 4.8368
_cell_length_b 4.8368
_cell_length_c 11.7457
_cell_angle_alpha 90.00
_cell_angle_beta 90.00
_cell_angle_gamma 120.00
loop_
_atom_site_label
_atom_site_type_symbol
_atom_site_fract_x
_atom_site_fract_y
_atom_site_fract_z
H1 H 0.0103 0.7441 0.0000
H2 H 0.0163 0.2905 0.5113
Pd1 Pd 0.0000 0.0000 0.1360
Pd2 Pd 0.0000 0.0000 0.3898
Pd3 Pd 0.0000 0.0000 0.6383
Rh1 Rh 0.0000 0.0000 0.8880
```

For the calculated density, the calculation gives 9.0 g/cm³. The value obtained for the magnetic moment is 0.00 μB/f.u.

***

Computed energies relative to the best structure, in meV/atom: arrangement w 10; arrangement x 0

***

Arrangement w

Entry from Alexandria via LeMat-Bulk: H3Pd2Rh after structural relaxation (PBE-GGA).

```
data_H3Pd2Rh
_space_group_name_H-M_alt 'C 1 2/c 1'
_space_group_IT_number 15
_space_group_name_Hall '-C 2yc'
_cell_length_a 9.256
_cell_length_b 4.136
_cell_length_c 5.775
_cell_angle_alpha 90.00
_cell_angle_beta 108.82
_cell_angle_gamma 90.00
loop_
_atom_site_label
_atom_site_type_symbol
_atom_site_fract_x
_atom_site_fract_y
_atom_site_fract_z
H1 H 0.000 0.073 0.250
H2 H 0.139 0.496 0.072
Pd1 Pd 0.167 0.000 0.084
Rh1 Rh 0.000 0.499 0.250
```

For the calculated density, the calculation gives 10.1 g/cm³. The value obtained for the magnetic moment is 0.00 μB/f.u.

***

Arrangement x

Entry from Alexandria via LeMat-Bulk: H3Pd2Rh after structural relaxation (PBE-GGA).

```
data_H3Pd2Rh
_space_group_name_H-M_alt 'C 1 2/c 1'
_space_group_IT_number 15
_space_group_name_Hall '-C 2yc'
_cell_length_a 5.802
_cell_length_b 8.326
_cell_length_c 9.054
_cell_angle_alpha 90.00
_cell_angle_beta 106.65
_cell_angle_gamma 90.00
loop_
_atom_site_label
_atom_site_type_symbol
_atom_site_fract_x
_atom_site_fract_y
_atom_site_fract_z
H1 H 0.103 0.098 0.438
H2 H 0.114 0.353 0.935
H3 H 0.208 0.130 0.747
Pd1 Pd 0.085 0.375 0.418
Pd2 Pd 0.248 0.125 0.247
Rh1 Rh 0.083 0.125 0.916
```

For the calculated density, the calculation gives 10.1 g/cm³. The value obtained for the magnetic moment is 0.00 μB/f.u.

***

Computed energies relative to the best structure, in meV/atom: arrangement w 10; arrangement x 0

***

Arrangement w

Entry from Alexandria via LeMat-Bulk: H2PdRh after structural relaxation (PBE-GGA).

```
data_H2PdRh
_space_group_name_H-M_alt 'R -3 m'
_space_group_IT_number 166
_space_group_name_Hall '-R 3 2"'
_cell_length_a 2.8838
_cell_length_b 2.8838
_cell_length_c 14.3103
_cell_angle_alpha 90.00
_cell_angle_beta 90.00
_cell_angle_gamma 120.00
loop_
_atom_site_label
_atom_site_type_symbol
_atom_site_fract_x
_atom_site_fract_y
_atom_site_fract_z
H1 H 0.0000 0.0000 0.2347
Pd1 Pd 0.0000 0.0000 0.0000
Rh1 Rh 0.0000 0.0000 0.5000
```

For the calculated density, the calculation gives 10.2 g/cm³. The value obtained for the magnetic moment is 0.00 μB/f.u.

***

Arrangement x

Entry from Alexandria via LeMat-Bulk: H2PdRh after structural relaxation (PBE-GGA).

```
data_H2PdRh
_space_group_name_H-M_alt 'P 3 m 1'
_space_group_IT_number 156
_space_group_name_Hall 'P 3 -2"'
_cell_length_a 2.8904
_cell_length_b 2.8904
_cell_length_c 5.1075
_cell_angle_alpha 90.00
_cell_angle_beta 90.00
_cell_angle_gamma 120.00
loop_
_atom_site_label
_atom_site_type_symbol
_atom_site_fract_x
_atom_site_fract_y
_atom_site_fract_z
H1 H 0.0000 0.0000 0.0000
H2 H 0.3333 0.6667 0.5165
Pd1 Pd 0.3333 0.6667 0.1585
Rh1 Rh 0.0000 0.0000 0.6610
```

For the calculated density, the calculation gives 9.5 g/cm³. The value obtained for the magnetic moment is 0.14 μB/f.u.

***

Computed energies relative to the best structure, in meV/atom: arrangement w 0; arrangement x 22

***

Arrangement w

Entry from Alexandria via LeMat-Bulk: H2PdRh after structural relaxation (PBE-GGA).

```
data_H2PdRh
_space_group_name_H-M_alt 'I -4 2 d'
_space_group_IT_number 122
_space_group_name_Hall 'I -4 2bw'
_cell_length_a 4.273
_cell_length_b 4.273
_cell_length_c 8.081
_cell_angle_alpha 90.00
_cell_angle_beta 90.00
_cell_angle_gamma 90.00
loop_
_atom_site_label
_atom_site_type_symbol
_atom_site_fract_x
_atom_site_fract_y
_atom_site_fract_z
H1 H 0.234 0.250 0.125
Pd1 Pd 0.000 0.000 0.500
Rh1 Rh 0.000 0.000 0.000
```

For the calculated density, the calculation gives 9.5 g/cm³. The value obtained for the magnetic moment is 0.00 μB/f.u.

***

Arrangement x

Entry from Alexandria via LeMat-Bulk: H2PdRh after structural relaxation (PBE-GGA).

```
data_H2PdRh
_space_group_name_H-M_alt 'F m -3 m'
_space_group_IT_number 225
_space_group_name_Hall '-F 4 2 3'
_cell_length_a 5.283
_cell_length_b 5.283
_cell_length_c 5.283
_cell_angle_alpha 90.00
_cell_angle_beta 90.00
_cell_angle_gamma 90.00
loop_
_atom_site_label
_atom_site_type_symbol
_atom_site_fract_x
_atom_site_fract_y
_atom_site_fract_z
H1 H 0.250 0.250 0.250
Pd1 Pd 0.000 0.000 0.000
Rh1 Rh 0.000 0.000 0.500
```

For the calculated density, the calculation gives 9.5 g/cm³. The value obtained for the magnetic moment is 0.00 μB/f.u.

***

Computed energies relative to the best structure, in meV/atom: arrangement w 0; arrangement x 499